An optimized crystal structure of DyErTm2Sc. Source: Alexandria, functional PBE-GGA.

Summary:
ΔH_f (0 K) = 355 meV/atom
crystal system = orthorhombic
final energy = -0.333 Ry per atom
space-group type = Cmcm (63)

a = 6.8518 Å, b = 6.8518 Å, c = 7.0161 Å
α = 90.00°, β = 90.00°, γ = 107.81°
Closest atoms and distances in Å follow each position.
Fractional positions:
Dy  0.2298  0.7702  0.7500  1 Sc 2.99
Dy  0.7702  0.2298  0.2500  1 Sc 2.99
Er  0.2294  0.7706  0.2500  1 Sc 3.00
Er  0.7706  0.2294  0.7500  1 Sc 3.00
Tm  0.1965  0.1965  0.0000  2 Sc 3.01, 1 Tm 3.17
Tm  0.1965  0.1965  0.5000  2 Sc 3.01, 1 Tm 3.17
Tm  0.8035  0.8035  0.0000  2 Sc 3.01, 1 Tm 3.17
Tm  0.8035  0.8035  0.5000  2 Sc 3.01, 1 Tm 3.17
Sc  0.4994  0.5006  0.7500  1 Dy 2.99, 1 Er 3.00, 4 Tm 3.01
Sc  0.5006  0.4994  0.2500  1 Dy 2.99, 1 Er 3.00, 4 Tm 3.01